A plane-wave DFT calculation with PBE was carried out for an optimized crystal structure of NbCuTc.

Summary:
Excess energy over the best structure of this formula in the dataset (kJ/mol of formula units): 14.3
E (eV/atom): -8.12
Total moment (μB/f.u.): 0.0
Energy of formation from the pure elements (meV per atom): 61.9
D(E_F) (states/eV/atom): 0.576

abc: 4.412 3.154 6.588
angles: 90.00 98.94 90.00
Element x y z (fractional)
Nb (0.000, 0.000, 0.000)
Nb (0.422, 0.000, 0.628)
Cu (0.220, 0.500, 0.310)
Cu (0.491, 0.500, 0.973)
Tc (0.724, 0.000, 0.314)
Tc (0.935, 0.500, 0.662)

A plane-wave DFT calculation with PBE was carried out for an optimized crystal structure of ScBe17Ni.

Summary:
E (eV/atom): -4.07
Total moment (μB/f.u.): 0.0
Energy of formation from the pure elements (meV per atom): -102.7
D(E_F) (states/eV/atom): 0.198

abc: 5.569 5.569 5.569
angles: 82.78 82.78 82.78
Element x y z (fractional)
Sc (0.000, 0.000, 0.000)
Be (0.009, 0.009, 0.493)
Be (0.009, 0.493, 0.009)
Be (0.153, 0.669, 0.669)
Be (0.317, 0.317, 0.795)
Be (0.317, 0.795, 0.317)
Be (0.365, 0.653, 0.962)
Be (0.365, 0.962, 0.653)
Be (0.493, 0.009, 0.009)
Be (0.559, 0.559, 0.559)
Be (0.653, 0.365, 0.962)
Be (0.653, 0.962, 0.365)
Be (0.669, 0.153, 0.669)
Be (0.669, 0.669, 0.153)
Be (0.756, 0.756, 0.756)
Be (0.795, 0.317, 0.317)
Be (0.962, 0.365, 0.653)
Be (0.962, 0.653, 0.365)
Ni (0.342, 0.342, 0.342)

A plane-wave DFT calculation with PBE was carried out for an optimized crystal structure of Ac4Cd2Ge.

Summary:
E (eV/atom): -3.39
Total moment (μB/f.u.): 0.0
Energy of formation from the pure elements (meV per atom): -125.7
D(E_F) (states/eV/atom): 1.500

abc: 9.149 9.149 9.149
angles: 141.72 141.72 55.25
Element x y z (fractional)
Ac (0.000, 0.500, 0.500)
Ac (0.189, 0.189, 0.000)
Ac (0.500, 0.000, 0.500)
Ac (0.811, 0.811, 0.000)
Cd (0.391, 0.391, 0.000)
Cd (0.609, 0.609, 0.000)
Ge (0.000, 0.000, 0.000)

A plane-wave DFT calculation with PBE was carried out for an optimized crystal structure of IrO3.

Summary:
E (eV/atom): -6.45
Total moment (μB/f.u.): 0.0
D(E_F) (states/eV/atom): 0.731

abc: 4.791 4.791 4.386
angles: 90.00 90.00 120.00
Element x y z (fractional)
Ir (0.333, 0.667, 0.250)
Ir (0.667, 0.333, 0.750)
O (0.000, 0.337, 0.000)
O (0.000, 0.663, 0.500)
O (0.337, 0.000, 0.000)
O (0.337, 0.337, 0.500)
O (0.663, 0.000, 0.500)
O (0.663, 0.663, 0.000)